Entry 1:
This record from the Alexandria database describes crystalline Li2GeF at its relaxed geometry. The functional is PBE. Values from VASP.

Output
- Formation energy (no corrections): -1.332 eV/atom
- Excess energy over the best structure of this formula in the dataset: 155 meV per atom
- N(E_F): 0.24 states/eV/f.u.
- Crystal system: tetragonal
- VASP energy: -3.911 eV per atom

Quantum ESPRESSO input file:
```
&SYSTEM
  ibrav = 0, nat = 8, ntyp = 3
/
ATOMIC_SPECIES
Ge 72.64 Ge.upf
Li 6.94 Li.upf
F 19.00 F.upf
CELL_PARAMETERS angstrom
5.694 0.000 0.000
0.000 5.694 0.000
2.847 2.847 3.794
ATOMIC_POSITIONS angstrom
Ge 0.000 0.000 0.000
Ge 5.694 2.847 1.897
Li 3.500 1.424 0.948
Li 2.194 4.271 0.948
Li 4.271 5.041 2.845
Li 7.118 6.347 2.845
F 2.847 2.847 0.000
F 2.847 5.694 1.897
```

***

Entry 2:
This record from the Alexandria database describes crystalline Na3Li2H6Ir at its relaxed geometry. The functional is PBE. Values from VASP.

Output
- N(E_F): 2.05 states/eV/f.u.
- Crystal system: monoclinic
- VASP energy: -3.286 eV per atom

Quantum ESPRESSO input file:
```
&SYSTEM
  ibrav = 0, nat = 12, ntyp = 4
/
ATOMIC_SPECIES
Na 22.99 Na.upf
Li 6.94 Li.upf
H 1.01 H.upf
Ir 192.22 Ir.upf
CELL_PARAMETERS angstrom
5.445 -0.128 0.098
-2.832 4.652 0.098
-0.772 -1.337 5.446
ATOMIC_POSITIONS angstrom
Na -1.897 3.220 2.821
Na 3.738 -0.034 2.821
Na 0.920 1.593 2.821
Li -0.090 3.068 0.098
Li 2.702 1.456 0.098
H 2.525 1.927 4.681
H 1.905 3.298 1.180
H -0.685 1.260 0.962
H 0.407 3.150 4.681
H -0.064 -0.111 4.463
H 1.433 0.037 0.962
Ir 0.000 0.000 0.000
```

***

Entry 3:
This record from the Alexandria database describes crystalline ThVP at its relaxed geometry. The functional is PBE. Values from VASP.

Output
- N(E_F): 2.58 states/eV/f.u.
- Formation energy from the elements: -844 meV/atom
- Crystal system: tetragonal
- VASP energy: -8.160 eV per atom

Quantum ESPRESSO input file:
```
&SYSTEM
  ibrav = 0, nat = 12, ntyp = 3
/
ATOMIC_SPECIES
P 30.97 P.upf
V 50.94 V.upf
Th 232.04 Th.upf
CELL_PARAMETERS angstrom
3.782 0.000 0.000
0.000 3.781 0.000
0.000 0.000 17.202
ATOMIC_POSITIONS angstrom
P 0.945 2.836 15.666
P 0.945 2.836 7.065
P 2.836 0.945 1.536
P 2.836 0.945 10.137
V 0.945 0.945 8.601
V 0.945 0.945 0.000
V 2.836 2.836 8.601
V 2.836 2.836 0.000
Th 0.945 2.836 11.390
Th 0.945 2.836 2.789
Th 2.836 0.945 5.812
Th 2.836 0.945 14.413
```

***

Entry 4:
This record from the Alexandria database describes crystalline BaZnCdBi2 at its relaxed geometry. The functional is PBE. Values from VASP.

Output
- Excess energy over the best structure of this formula in the dataset: 0 meV per atom
- N(E_F): 0.91 states/eV/f.u.
- Formation energy from the elements: -347 meV/atom
- Crystal system: monoclinic
- VASP energy: -2.722 eV per atom

Quantum ESPRESSO input file:
```
&SYSTEM
  ibrav = 0, nat = 10, ntyp = 4
/
ATOMIC_SPECIES
Ba 137.33 Ba.upf
Zn 65.41 Zn.upf
Cd 112.41 Cd.upf
Bi 208.98 Bi.upf
CELL_PARAMETERS angstrom
4.895 0.000 0.000
-2.447 6.964 0.321
0.000 -1.257 10.144
ATOMIC_POSITIONS angstrom
Ba 0.000 4.041 3.132
Ba 2.447 1.666 7.333
Zn 2.447 2.150 1.129
Zn 0.000 3.557 9.337
Cd 0.000 0.226 2.374
Cd 2.447 5.481 8.091
Bi 0.000 4.598 6.699
Bi 2.447 1.109 3.766
Bi 0.000 0.692 9.770
Bi 2.447 5.015 0.695
```

***

Question: Look up the VASP energy of the third one.
Answer: -8.160 eV per atom

***

Question: Among the records above, which one has the highest VASP energy?
Answer: BaZnCdBi2

***

Question: Which of these has the highest N(E_F)?
Answer: ThVP